VASP calculation (PBE) on crystalline Ba4SrZn at its relaxed geometry.

Unit cell a=4.247 b=4.247 c=17.422 alpha=90.00 beta=90.00 gamma=90.00
Fractional coordinates of all 6 atoms:
Ba (0.500, 0.500, 0.890)
Ba (0.500, 0.500, 0.110)
Ba (0.000, 0.000, 0.688)
Ba (0.000, 0.000, 0.312)
Sr (0.500, 0.500, 0.500)
Zn (0.000, 0.000, 0.000)

Results
Density: 3712 kg/m3
ΔH_f (0 K): -0.3 eV per formula unit
Total magnetization: 0.00 μB per formula unit

---

VASP calculation (PBE) on crystalline Ba2SrZn at its relaxed geometry.

Unit cell a=7.216 b=7.216 c=7.216 alpha=135.73 beta=135.73 gamma=64.40
Fractional coordinates of all 4 atoms:
Ba (0.000, 0.000, 0.000)
Ba (0.250, 0.750, 0.500)
Sr (0.500, 0.500, 0.000)
Zn (0.750, 0.250, 0.500)

Results
Density: 3933 kg/m3
ΔH_f (0 K): 0.5 eV per formula unit
Total magnetization: 0.00 μB per formula unit

---

VASP calculation (PBE) on crystalline Ba3SrZn8 at its relaxed geometry.

Unit cell a=6.174 b=6.174 c=9.114 alpha=90.00 beta=90.00 gamma=120.00
Fractional coordinates of all 12 atoms:
Ba (0.667, 0.333, 0.451)
Ba (0.667, 0.333, 0.047)
Ba (0.000, 0.000, 0.952)
Sr (0.000, 0.000, 0.545)
Zn (0.333, 0.667, 0.501)
Zn (0.333, 0.667, 0.001)
Zn (0.480, 0.960, 0.749)
Zn (0.480, 0.520, 0.749)
Zn (0.040, 0.520, 0.749)
Zn (0.186, 0.372, 0.253)
Zn (0.186, 0.814, 0.253)
Zn (0.628, 0.814, 0.253)

Results
Density: 5646 kg/m3
ΔH_f (0 K): -1.8 eV per formula unit
Total magnetization: 0.00 μB per formula unit

---

VASP calculation (PBE) on crystalline BaSr2Zn9 at its relaxed geometry.

Unit cell a=5.857 b=5.857 c=9.448 alpha=71.94 beta=71.94 gamma=60.00
Fractional coordinates of all 12 atoms:
Ba (0.000, 0.000, 0.000)
Sr (0.856, 0.856, 0.432)
Sr (0.144, 0.144, 0.568)
Zn (0.665, 0.665, 0.006)
Zn (0.335, 0.335, 0.994)
Zn (0.500, 0.500, 0.500)
Zn (0.417, 0.417, 0.242)
Zn (0.923, 0.417, 0.242)
Zn (0.417, 0.923, 0.242)
Zn (0.583, 0.583, 0.758)
Zn (0.583, 0.077, 0.758)
Zn (0.077, 0.583, 0.758)

Results
Density: 5710 kg/m3
ΔH_f (0 K): -2.0 eV per formula unit
Total magnetization: 0.00 μB per formula unit